First-principles (PBE) data for crystalline TcPbW2 at its relaxed geometry, as listed in the Alexandria database.

CIF file:
```
data_TcPbW2
_chemical_formula_sum 'Tc2 Pb2 W4'
_space_group_name_H-M_alt 'C m m m'
_space_group_IT_number 65
_space_group_name_Hall '-C 2 2'
_cell_length_a 5.4669
_cell_length_b 8.4841
_cell_length_c 3.0151
_cell_angle_alpha 90.00
_cell_angle_beta 90.00
_cell_angle_gamma 90.00
loop_
_atom_site_label
_atom_site_type_symbol
_atom_site_fract_x
_atom_site_fract_y
_atom_site_fract_z
Tc1 Tc 0.0000 0.0000 0.0000
Pb1 Pb 0.0000 0.5000 0.0000
W1 W 0.2500 0.2500 0.5000
```

Energy of formation: 0.86 eV/atom


First-principles (PBE) data for crystalline Ba6SnI5 at its relaxed geometry, as listed in the Alexandria database.

CIF file:
```
data_Ba6SnI5
_chemical_formula_sum 'Ba12 Sn2 I10'
_space_group_name_H-M_alt 'C 1 2/m 1'
_space_group_IT_number 12
_cell_length_a 8.7420
_cell_length_b 15.0425
_cell_length_c 8.7154
_cell_angle_alpha 90.00
_cell_angle_beta 109.15
_cell_angle_gamma 90.00
loop_
_space_group_symop_operation_xyz
'x,y,z'
'-x,-y,-z'
'-x,y,-z'
'x,-y,z'
'x+1/2,y+1/2,z'
'-x+1/2,-y+1/2,-z'
'-x+1/2,y+1/2,-z'
'x+1/2,-y+1/2,z'
loop_
_atom_site_label
_atom_site_type_symbol
_atom_site_fract_x
_atom_site_fract_y
_atom_site_fract_z
Ba1 Ba 0.2352 0.0000 0.2577
Ba2 Ba 0.2368 0.1591 0.7360
Sn1 Sn 0.0000 0.0000 0.5000
I1 I 0.0000 0.1719 0.0000
I2 I 0.0000 0.3350 0.5000
I3 I 0.0000 0.5000 0.0000
```

Uncorrected formation energy: -123.2 kJ per mole of atoms


First-principles (PBE) data for crystalline ZrTaNi2 at its relaxed geometry, as listed in the Alexandria database.

CIF file:
```
data_ZrTaNi2
_chemical_formula_sum 'Zr2 Ta2 Ni4'
_space_group_name_H-M_alt 'I m m 2'
_space_group_IT_number 44
_cell_length_a 3.1005
_cell_length_b 4.1917
_cell_length_c 9.5896
_cell_angle_alpha 90.00
_cell_angle_beta 90.00
_cell_angle_gamma 90.00
loop_
_space_group_symop_operation_xyz
'x,y,z'
'-x,-y,z'
'-x,y,z'
'x,-y,z'
'x+1/2,y+1/2,z+1/2'
'-x+1/2,-y+1/2,z+1/2'
'-x+1/2,y+1/2,z+1/2'
'x+1/2,-y+1/2,z+1/2'
loop_
_atom_site_label
_atom_site_type_symbol
_atom_site_fract_x
_atom_site_fract_y
_atom_site_fract_z
Zr1 Zr 0.0000 0.0000 0.0000
Ta1 Ta 0.0000 0.5000 0.2273
Ni1 Ni 0.0000 0.0000 0.4700
Ni2 Ni 0.0000 0.5000 0.7664
```

Energy of formation: -0.11 eV/atom


First-principles (PBE) data for crystalline CeUP at its relaxed geometry, as listed in the Alexandria database.

CIF file:
```
data_CeUP
_chemical_formula_sum 'Ce1 U1 P1'
_space_group_name_H-M_alt 'P 3 m 1'
_space_group_IT_number 156
_cell_length_a 3.7591
_cell_length_b 3.7591
_cell_length_c 5.1904
_cell_angle_alpha 90.00
_cell_angle_beta 90.00
_cell_angle_gamma 120.00
loop_
_space_group_symop_operation_xyz
'x,y,z'
'-y,x-y,z'
'-x+y,-x,z'
'-y,-x,z'
'-x+y,y,z'
'x,x-y,z'
loop_
_atom_site_label
_atom_site_type_symbol
_atom_site_fract_x
_atom_site_fract_y
_atom_site_fract_z
Ce1 Ce 0.0000 0.0000 0.0000
U1 U 0.3333 0.6667 0.6902
P1 P 0.6667 0.3333 0.3743
```

Energy of formation: -0.57 eV/atom


Number 1: total magnetization 0.000 μB/atom. Number 2: total magnetization 0.000 μB/atom. Number 3: total magnetization 0.000 μB/atom. Number 4: total magnetization 0.227 μB/atom.